# 1
## Tl3Cr2CdO8 (PBE with a Hubbard U)

Data for an optimized crystal structure of Tl3Cr2CdO8.

Summary:
symmetry	No. 164
total moment	1.00	μB per formula unit
E_tot	-77.94	eV per cell
DOS(E_F)	6.28	states/eV/f.u.

a b c (Å): 5.972 5.972 7.720
angles (deg): 90.00 90.00 120.00
Atoms (fractional coordinates):
Tl1 0.000 0.000 0.000
Tl2 0.333 0.667 0.683
Tl3 0.667 0.333 0.317
Cr1 0.333 0.667 0.235
Cr2 0.667 0.333 0.765
Cd1 0.000 0.000 0.500
O1 0.177 0.354 0.310
O2 0.177 0.823 0.310
O3 0.333 0.667 0.020
O4 0.354 0.177 0.690
O5 0.646 0.823 0.310
O6 0.667 0.333 0.980
O7 0.823 0.177 0.690
O8 0.823 0.646 0.690

***

# 2
## TlCrCdO4 (PBE with a Hubbard U)

Data for an optimized crystal structure of TlCrCdO4.

Summary:
symmetry	No. 11
total moment	1.00	μB per formula unit
E_tot	-76.72	eV per cell

a b c (Å): 6.229 5.961 7.231
angles (deg): 90.00 101.58 90.00
Atoms (fractional coordinates):
Tl1 0.244 0.250 0.400
Tl2 0.756 0.750 0.600
Cr1 0.182 0.750 0.104
Cr2 0.818 0.250 0.896
Cd1 0.344 0.250 0.921
Cd2 0.656 0.750 0.079
O1 0.001 0.250 0.748
O2 0.082 0.750 0.874
O3 0.374 0.523 0.155
O4 0.374 0.977 0.155
O5 0.626 0.023 0.845
O6 0.626 0.477 0.845
O7 0.918 0.250 0.126
O8 0.999 0.750 0.252

***

# 3
## TmCr2CdO8 (PBE with a Hubbard U)

Data for an optimized crystal structure of TmCr2CdO8.

Summary:
symmetry	No. 119
total moment	1.00	μB per formula unit
E_tot	-80.86	eV per cell

a b c (Å): 5.961 5.961 5.961
angles (deg): 105.95 105.95 116.78
Atoms (fractional coordinates):
Tm1 0.000 0.000 0.000
Cr1 0.250 0.750 0.500
Cr2 0.500 0.500 0.000
Cd1 0.750 0.250 0.500
O1 0.084 0.392 0.308
O2 0.084 0.777 0.692
O3 0.152 0.331 0.821
O4 0.223 0.916 0.308
O5 0.510 0.331 0.179
O6 0.608 0.916 0.692
O7 0.669 0.490 0.821
O8 0.669 0.848 0.179

***

# 4
## UCrCdO6 (PBE with a Hubbard U)

Data for an optimized crystal structure of UCrCdO6.

Summary:
symmetry	No. 163
total moment	1.98	μB per formula unit
E_tot	-135.82	eV per cell
DOS(E_F)	0.22	states/eV/f.u.

a b c (Å): 5.314 5.314 9.260
angles (deg): 90.00 90.00 120.00
Atoms (fractional coordinates):
U1 0.000 0.000 0.000
U2 0.000 0.000 0.500
Cr1 0.333 0.667 0.250
Cr2 0.667 0.333 0.750
Cd1 0.333 0.667 0.750
Cd2 0.667 0.333 0.250
O1 0.051 0.351 0.127
O2 0.051 0.699 0.373
O3 0.301 0.351 0.373
O4 0.301 0.949 0.127
O5 0.351 0.051 0.627
O6 0.351 0.301 0.873
O7 0.649 0.699 0.127
O8 0.649 0.949 0.373
O9 0.699 0.051 0.873
O10 0.699 0.649 0.627
O11 0.949 0.301 0.627
O12 0.949 0.649 0.873

***

- Which formula does entry 3 have?
  TmCr2CdO8

***

Please write out number 1 again, unchanged.
## Tl3Cr2CdO8 (PBE with a Hubbard U)

Data for an optimized crystal structure of Tl3Cr2CdO8.

Summary:
symmetry	No. 164
total moment	1.00	μB per formula unit
E_tot	-77.94	eV per cell
DOS(E_F)	6.28	states/eV/f.u.

a b c (Å): 5.972 5.972 7.720
angles (deg): 90.00 90.00 120.00
Atoms (fractional coordinates):
Tl1 0.000 0.000 0.000
Tl2 0.333 0.667 0.683
Tl3 0.667 0.333 0.317
Cr1 0.333 0.667 0.235
Cr2 0.667 0.333 0.765
Cd1 0.000 0.000 0.500
O1 0.177 0.354 0.310
O2 0.177 0.823 0.310
O3 0.333 0.667 0.020
O4 0.354 0.177 0.690
O5 0.646 0.823 0.310
O6 0.667 0.333 0.980
O7 0.823 0.177 0.690
O8 0.823 0.646 0.690

***

- Which of these has the lowest E_tot?
  UCrCdO6